CdBiOs2Rh | GGA-PBE | optimized geometry

Unit cell a=4.7550 b=4.7550 c=5.2287 alpha=90.00 beta=90.00 gamma=90.00
Closest atoms and distances in Å follow each position.
Atoms (fractional coordinates):
Cd  0.0000  0.0000  0.0000  4 Bi 3.36, 8 Os 3.53
Bi  0.5000  0.5000  0.0000  2 Rh 2.61
Os  0.0000  0.5000  0.5000  2 Rh 2.38
Os  0.5000  0.0000  0.5000  2 Rh 2.38
Rh  0.5000  0.5000  0.5000  4 Os 2.38, 2 Bi 2.61

Results
Formation energy (eV per atom): 1.754
Density (g/cm³): 11.304
Energy (hartree per atom): -0.1899
Space-group type: P4/mmm (123)


CdSiBi2Os | GGA-PBE | optimized geometry

Unit cell a=5.5753 b=5.5753 c=4.7192 alpha=90.00 beta=90.00 gamma=90.00
Closest atoms and distances in Å follow each position.
Atoms (fractional coordinates):
Cd  0.0000  0.0000  0.0000  2 Si 2.36
Si  0.0000  0.0000  0.5000  2 Cd 2.36
Bi  0.0000  0.5000  0.0000  2 Cd 2.79
Bi  0.5000  0.0000  0.0000  2 Cd 2.79
Os  0.5000  0.5000  0.5000  8 Bi 3.65, 4 Si 3.94

Results
Density (g/cm³): 8.475
Formation energy (no corrections) (eV per atom): 1.842
Energy (hartree per atom): -0.1185
Space-group type: P4/mmm (123)